1.
This record from the Alexandria database describes crystalline TbEr7Sc4 at its relaxed geometry. The functional is GGA-PBE.

Cell lengths 6.9069, 9.1411, 8.4959 Å; angles 81.06, 89.96, 40.96 degrees
With the nearest neighbours (Å) after each atom.
Fractional coordinates of all 12 atoms:
Tb (0.0000, 0.0000, 0.0000)  10 Er 3.43-3.49, 2 Sc 3.44
Er (0.7514, 0.5025, 0.0040)  7 Er 3.40-3.51, 3 Sc 3.40-3.45, 2 Tb 3.45-3.49
Er (0.2486, 0.4975, 0.9960)  7 Er 3.40-3.51, 3 Sc 3.40-3.45, 2 Tb 3.45-3.49
Er (0.9727, 0.2831, 0.6609)  6 Sc 3.31-3.52, 5 Er 3.36-3.51, 1 Tb 3.46
Er (0.0273, 0.7169, 0.3391)  6 Sc 3.31-3.52, 5 Er 3.36-3.51, 1 Tb 3.46
Er (0.2234, 0.7766, 0.6632)  5 Sc 3.35-3.48, 6 Er 3.36-3.51, 1 Tb 3.43
Er (0.5000, 0.0000, 0.0000)  4 Sc 3.41-3.44, 6 Er 3.42-3.47, 2 Tb 3.45
Er (0.7766, 0.2234, 0.3368)  5 Sc 3.35-3.48, 6 Er 3.36-3.51, 1 Tb 3.43
Sc (0.5303, 0.7241, 0.3377)  3 Sc 3.31-3.48, 8 Er 3.33-3.52, 1 Tb 3.44
Sc (0.4697, 0.2759, 0.6623)  3 Sc 3.31-3.48, 8 Er 3.33-3.52, 1 Tb 3.44
Sc (0.7169, 0.7830, 0.6602)  4 Sc 3.29-3.48, 8 Er 3.31-3.46
Sc (0.2831, 0.2170, 0.3398)  4 Sc 3.29-3.48, 8 Er 3.31-3.46

SG: No. 2

***

2.
This record from the Alexandria database describes crystalline TbEr2Sc at its relaxed geometry. The functional is GGA-PBE.

Cell lengths 3.4885, 6.0422, 11.3338 Å; angles 84.92, 98.86, 90.01 degrees
With the nearest neighbours (Å) after each atom.
Fractional coordinates of all 8 atoms:
Tb (0.5438, 0.9386, 0.5724)  6 Tb 3.49, 6 Er 3.52-3.55
Tb (0.0438, 0.4386, 0.5724)  6 Tb 3.49, 6 Er 3.52-3.55
Er (0.1724, 0.7293, 0.8313)  3 Sc 3.33, 6 Er 3.49, 3 Tb 3.52
Er (0.9116, 0.1503, 0.3104)  3 Sc 3.36, 6 Er 3.49, 3 Tb 3.54-3.55
Er (0.4116, 0.6503, 0.3104)  3 Sc 3.36, 6 Er 3.49, 3 Tb 3.54-3.55
Er (0.6724, 0.2293, 0.8313)  3 Sc 3.33, 6 Er 3.49, 3 Tb 3.52
Sc (0.7921, 0.8568, 0.0693)  6 Er 3.33-3.36, 6 Sc 3.49
Sc (0.2921, 0.3568, 0.0693)  6 Er 3.33-3.36, 6 Sc 3.49

SG: No. 8

***

3.
This record from the Alexandria database describes crystalline Tb4ErSc3 at its relaxed geometry. The functional is GGA-PBE.

Cell lengths 6.0765, 7.0320, 10.9181 Å; angles 90.00, 90.00, 90.00 degrees
With the nearest neighbours (Å) after each atom.
Fractional coordinates of all 16 atoms:
Tb (0.1375, 0.8685, 0.0000)  4 Sc 3.39-3.58, 6 Tb 3.41-3.61, 2 Er 3.42-3.61
Tb (0.6475, 0.1331, 0.0000)  4 Sc 3.39-3.62, 6 Tb 3.41-3.61, 2 Er 3.48-3.53
Tb (0.9837, 0.1323, 0.2546)  5 Sc 3.36-3.62, 6 Tb 3.41-3.56, 1 Er 3.45
Tb (0.4837, 0.8677, 0.2454)  5 Sc 3.36-3.62, 6 Tb 3.41-3.56, 1 Er 3.45
Tb (0.1475, 0.8669, 0.5000)  4 Sc 3.39-3.62, 6 Tb 3.41-3.61, 2 Er 3.48-3.53
Tb (0.6375, 0.1315, 0.5000)  4 Sc 3.39-3.58, 6 Tb 3.41-3.61, 2 Er 3.42-3.61
Tb (0.4837, 0.8677, 0.7546)  5 Sc 3.36-3.62, 6 Tb 3.41-3.56, 1 Er 3.45
Tb (0.9837, 0.1323, 0.7454)  5 Sc 3.36-3.62, 6 Tb 3.41-3.56, 1 Er 3.45
Er (0.1524, 0.3823, 0.0000)  6 Sc 3.37-3.47, 6 Tb 3.42-3.61
Er (0.6524, 0.6177, 0.5000)  6 Sc 3.37-3.47, 6 Tb 3.42-3.61
Sc (0.6510, 0.6179, 0.0000)  4 Sc 3.35-3.39, 6 Tb 3.36-3.62, 2 Er 3.45-3.47
Sc (0.9796, 0.6181, 0.2507)  4 Sc 3.35-3.46, 2 Er 3.37, 6 Tb 3.39-3.62
Sc (0.4796, 0.3819, 0.2493)  4 Sc 3.35-3.46, 2 Er 3.37, 6 Tb 3.39-3.62
Sc (0.1510, 0.3821, 0.5000)  4 Sc 3.35-3.39, 6 Tb 3.36-3.62, 2 Er 3.45-3.47
Sc (0.4796, 0.3819, 0.7507)  4 Sc 3.35-3.46, 2 Er 3.37, 6 Tb 3.39-3.62
Sc (0.9796, 0.6181, 0.7493)  4 Sc 3.35-3.46, 2 Er 3.37, 6 Tb 3.39-3.62

SG: No. 31

***

4.
This record from the Alexandria database describes crystalline Tb3Er3Sc at its relaxed geometry. The functional is GGA-PBE.

Cell lengths 5.5735, 9.4151, 9.4169 Å; angles 120.00, 90.00, 90.00 degrees
With the nearest neighbours (Å) after each atom.
Fractional coordinates of all 14 atoms:
Tb (0.7500, 0.7569, 0.8082)  5 Er 3.45-3.59, 6 Tb 3.48-3.62, 1 Sc 3.52
Tb (0.7500, 0.0511, 0.2431)  5 Er 3.45-3.59, 6 Tb 3.48-3.62, 1 Sc 3.52
Tb (0.7500, 0.1918, 0.9488)  5 Er 3.45-3.59, 6 Tb 3.48-3.62, 1 Sc 3.52
Tb (0.2500, 0.2431, 0.1918)  5 Er 3.45-3.59, 6 Tb 3.48-3.62, 1 Sc 3.52
Tb (0.2500, 0.9489, 0.7569)  5 Er 3.45-3.59, 6 Tb 3.48-3.62, 1 Sc 3.52
Tb (0.2500, 0.8082, 0.0512)  5 Er 3.45-3.59, 6 Tb 3.48-3.62, 1 Sc 3.52
Er (0.2500, 0.5216, 0.6179)  5 Tb 3.45-3.59, 3 Sc 3.45-3.57, 4 Er 3.46-3.53
Er (0.2500, 0.0964, 0.4784)  5 Tb 3.45-3.59, 3 Sc 3.45-3.56, 4 Er 3.46-3.53
Er (0.2500, 0.3821, 0.9036)  5 Tb 3.45-3.59, 3 Sc 3.45-3.57, 4 Er 3.46-3.53
Er (0.7500, 0.4784, 0.3821)  5 Tb 3.45-3.59, 3 Sc 3.45-3.57, 4 Er 3.46-3.53
Er (0.7500, 0.9036, 0.5216)  5 Tb 3.45-3.59, 3 Sc 3.45-3.56, 4 Er 3.46-3.53
Er (0.7500, 0.6179, 0.0964)  5 Tb 3.45-3.59, 3 Sc 3.45-3.57, 4 Er 3.46-3.53
Sc (0.7500, 0.3333, 0.6667)  9 Er 3.45-3.57, 3 Tb 3.52
Sc (0.2500, 0.6667, 0.3333)  9 Er 3.45-3.57, 3 Tb 3.52

SG: No. 176

***

5.
This record from the Alexandria database describes crystalline TbEr6Sc6 at its relaxed geometry. The functional is GGA-PBE.

Cell lengths 6.2730, 6.2730, 10.5865 Å; angles 90.00, 90.00, 115.87 degrees
With the nearest neighbours (Å) after each atom.
Fractional coordinates of all 13 atoms:
Tb (0.0000, 0.0000, 0.0000)  8 Er 3.54-3.74, 8 Sc 3.95
Er (0.0000, 0.0000, 0.6655)  6 Sc 3.34-3.37, 3 Er 3.48-3.50, 1 Tb 3.54
Er (0.0000, 0.0000, 0.3345)  6 Sc 3.34-3.37, 3 Er 3.48-3.50, 1 Tb 3.54
Er (0.3518, 0.6482, 0.0000)  6 Sc 3.11-3.44, 1 Er 3.15
Er (0.6482, 0.3518, 0.0000)  6 Sc 3.11-3.44, 1 Er 3.15
Er (0.2823, 0.7177, 0.5000)  6 Sc 3.22-3.36, 4 Er 3.40-3.48
Er (0.7177, 0.2823, 0.5000)  6 Sc 3.22-3.36, 4 Er 3.40-3.48
Sc (0.0000, 0.5000, 0.7735)  6 Er 3.11-3.36, 4 Sc 3.20-3.33
Sc (0.5000, 0.0000, 0.7735)  6 Er 3.11-3.36, 4 Sc 3.20-3.33
Sc (0.5000, 0.5000, 0.7115)  4 Sc 3.20, 6 Er 3.22-3.44
Sc (0.5000, 0.0000, 0.2265)  6 Er 3.11-3.36, 4 Sc 3.20-3.33
Sc (0.0000, 0.5000, 0.2265)  6 Er 3.11-3.36, 4 Sc 3.20-3.33
Sc (0.5000, 0.5000, 0.2885)  4 Sc 3.20, 6 Er 3.22-3.44

SG: No. 65

***

6.
This record from the Alexandria database describes crystalline TbErSc6 at its relaxed geometry. The functional is GGA-PBE.

Cell lengths 5.2894, 6.7717, 6.7717 Å; angles 119.98, 90.00, 90.00 degrees
With the nearest neighbours (Å) after each atom.
Fractional coordinates of all 8 atoms:
Tb (0.0000, 0.0835, 0.9165)  12 Sc 3.31-3.39
Er (0.5000, 0.4164, 0.5836)  12 Sc 3.31-3.39
Sc (0.0000, 0.0768, 0.4132)  8 Sc 3.27-3.45, 2 Er 3.31, 2 Tb 3.39
Sc (0.0000, 0.5868, 0.9232)  8 Sc 3.27-3.45, 2 Er 3.31, 2 Tb 3.39
Sc (0.0000, 0.5865, 0.4135)  8 Sc 3.27-3.45, 2 Er 3.31, 2 Tb 3.39
Sc (0.5000, 0.4234, 0.0870)  8 Sc 3.27-3.46, 2 Tb 3.31, 2 Er 3.39
Sc (0.5000, 0.9130, 0.5766)  8 Sc 3.27-3.46, 2 Tb 3.31, 2 Er 3.39
Sc (0.5000, 0.9133, 0.0867)  8 Sc 3.27-3.45, 2 Tb 3.31, 2 Er 3.39

SG: No. 38

***

7.
This record from the Alexandria database describes crystalline Tb6ErSc4 at its relaxed geometry. The functional is GGA-PBE.

Cell lengths 6.7139, 6.7139, 8.7456 Å; angles 112.57, 112.57, 90.00 degrees
With the nearest neighbours (Å) after each atom.
Fractional coordinates of all 11 atoms:
Tb (0.8876, 0.4860, 0.3735)  3 Sc 3.22-3.47, 1 Er 3.34
Tb (0.4860, 0.8876, 0.3735)  3 Sc 3.22-3.47, 1 Er 3.34
Tb (0.5140, 0.5140, 0.6265)  3 Sc 3.22-3.47, 1 Er 3.34
Tb (0.0000, 0.5000, 0.0000)  4 Sc 2.90
Tb (0.1124, 0.1124, 0.6265)  3 Sc 3.22-3.47, 1 Er 3.34
Tb (0.5000, 0.0000, 0.0000)  4 Sc 2.90
Er (0.5000, 0.5000, 0.0000)  8 Tb 3.34-3.36, 4 Sc 3.56
Sc (0.0593, 0.7489, 0.8082)  3 Tb 2.90-3.22, 1 Sc 2.95
Sc (0.9407, 0.9407, 0.1918)  3 Tb 2.90-3.22, 1 Sc 2.95
Sc (0.7489, 0.0593, 0.8082)  3 Tb 2.90-3.22, 1 Sc 2.95
Sc (0.2511, 0.2511, 0.1918)  3 Tb 2.90-3.22, 1 Sc 2.95

SG: No. 121

***

8.
This record from the Alexandria database describes crystalline Tb7ErSc3 at its relaxed geometry. The functional is GGA-PBE.

Cell lengths 5.7095, 8.1989, 8.1989 Å; angles 85.16, 110.40, 110.40 degrees
With the nearest neighbours (Å) after each atom.
Fractional coordinates of all 11 atoms:
Tb (0.1967, 0.1960, 0.1960)  2 Sc 3.15, 1 Er 3.23, 2 Tb 3.46
Tb (0.3110, 0.0190, 0.6031)  2 Sc 3.06-3.42, 2 Tb 3.27
Tb (0.6890, 0.3969, 0.9810)  2 Sc 3.06-3.42, 2 Tb 3.27
Tb (0.3110, 0.6031, 0.0190)  2 Sc 3.06-3.42, 2 Tb 3.27
Tb (0.0000, 0.5000, 0.5000)  2 Er 2.85, 2 Sc 3.19
Tb (0.6890, 0.9810, 0.3969)  2 Sc 3.06-3.42, 2 Tb 3.27
Tb (0.8033, 0.8040, 0.8040)  2 Sc 3.15, 1 Er 3.23, 2 Tb 3.46
Er (0.5000, 0.5000, 0.5000)  2 Tb 2.85
Sc (0.0000, 0.7876, 0.2124)  9 Tb 3.15-3.49
Sc (0.5000, 0.0000, 0.0000)  4 Tb 3.06
Sc (0.0000, 0.2124, 0.7876)  9 Tb 3.15-3.49

SG: No. 71

***

9.
This record from the Alexandria database describes crystalline Tb8Er3Sc2 at its relaxed geometry. The functional is GGA-PBE.

Cell lengths 5.5670, 7.6463, 10.4420 Å; angles 111.48, 90.03, 90.00 degrees
With the nearest neighbours (Å) after each atom.
Fractional coordinates of all 13 atoms:
Tb (0.0009, 0.6755, 0.3510)  2 Sc 3.22-3.23, 4 Tb 3.44-3.45
Tb (0.9991, 0.3245, 0.6490)  2 Sc 3.22-3.23, 4 Tb 3.44-3.45
Tb (0.9999, 0.1341, 0.2682)  3 Er 3.40-3.81, 2 Sc 3.46-3.47, 5 Tb 3.59-3.70
Tb (0.0001, 0.8659, 0.7318)  3 Er 3.40-3.81, 2 Sc 3.46-3.47, 5 Tb 3.59-3.70
Tb (0.4996, 0.5976, 0.7780)  1 Er 3.10, 3 Tb 3.19-3.45, 2 Sc 3.30-3.36
Tb (0.4996, 0.1804, 0.7780)  1 Er 3.10, 3 Tb 3.19-3.45, 2 Sc 3.30-3.36
Tb (0.5004, 0.8196, 0.2220)  1 Er 3.10, 3 Tb 3.19-3.45, 2 Sc 3.30-3.36
Tb (0.5004, 0.4024, 0.2220)  1 Er 3.10, 3 Tb 3.19-3.45, 2 Sc 3.30-3.36
Er (0.5000, 0.0000, 0.0000)  4 Tb 3.10
Er (0.0000, 0.2863, 0.0000)  3 Er 3.27-3.54, 6 Tb 3.40-3.52
Er (0.0000, 0.7137, 0.0000)  3 Er 3.27-3.54, 6 Tb 3.40-3.52
Sc (0.4991, 0.2406, 0.4813)  8 Tb 3.22-3.47
Sc (0.5009, 0.7594, 0.5187)  8 Tb 3.22-3.47

SG: No. 12

***

10.
This record from the Alexandria database describes crystalline Tb6ErSc12 at its relaxed geometry. The functional is GGA-PBE.

Cell lengths 8.3354, 8.3354, 8.3354 Å; angles 99.96, 99.96, 99.96 degrees
With the nearest neighbours (Å) after each atom.
Fractional coordinates of all 19 atoms:
Tb (0.7420, 0.2202, 0.2202)  4 Sc 2.78-3.04
Tb (0.2202, 0.2202, 0.7420)  4 Sc 2.78-3.04
Tb (0.2202, 0.7420, 0.2202)  4 Sc 2.78-3.04
Tb (0.7798, 0.7798, 0.2580)  4 Sc 2.78-3.04
Tb (0.2580, 0.7798, 0.7798)  4 Sc 2.78-3.04
Tb (0.7798, 0.2580, 0.7798)  4 Sc 2.78-3.04
Er (0.0000, 0.0000, 0.0000)  6 Tb 3.60
Sc (0.8854, 0.1146, 0.5000)  4 Tb 2.78-3.04, 1 Sc 2.93
Sc (0.8335, 0.5434, 0.5434)  3 Sc 3.16-3.48, 3 Tb 3.34-3.36
Sc (0.5434, 0.5434, 0.8335)  3 Sc 3.16-3.48, 3 Tb 3.34-3.36
Sc (0.4566, 0.1665, 0.4566)  3 Sc 3.16-3.48, 3 Tb 3.34-3.36
Sc (0.4566, 0.4566, 0.1665)  3 Sc 3.16-3.48, 3 Tb 3.34-3.36
Sc (0.1665, 0.4566, 0.4566)  3 Sc 3.16-3.48, 3 Tb 3.34-3.36
Sc (0.1146, 0.5000, 0.8854)  4 Tb 2.78-3.04, 1 Sc 2.93
Sc (0.5000, 0.8854, 0.1146)  4 Tb 2.78-3.04, 1 Sc 2.93
Sc (0.1146, 0.8854, 0.5000)  4 Tb 2.78-3.04, 1 Sc 2.93
Sc (0.8854, 0.5000, 0.1146)  4 Tb 2.78-3.04, 1 Sc 2.93
Sc (0.5000, 0.1146, 0.8854)  4 Tb 2.78-3.04, 1 Sc 2.93
Sc (0.5434, 0.8335, 0.5434)  3 Sc 3.16-3.48, 3 Tb 3.34-3.36

SG: No. 166

***

11.
This record from the Alexandria database describes crystalline Tb5ErSc at its relaxed geometry. The functional is GGA-PBE.

Cell lengths 10.1937, 6.5747, 6.8817 Å; angles 118.53, 137.79, 90.00 degrees
With the nearest neighbours (Å) after each atom.
Fractional coordinates of all 7 atoms:
Tb (0.1530, 0.2283, 0.4566)  3 Tb 2.97-3.23, 1 Sc 3.10
Tb (0.9685, 0.5000, 0.0000)  1 Sc 3.00, 2 Tb 3.21
Tb (0.6964, 0.7717, 0.5434)  3 Tb 2.97-3.23, 1 Sc 3.10
Tb (0.2283, 0.7752, 0.0000)  4 Tb 2.96-3.23
Tb (0.2283, 0.2248, 0.0000)  4 Tb 2.96-3.23
Er (0.5818, 0.0000, 0.0000)  2 Sc 3.42, 4 Tb 3.45-3.80
Sc (0.6744, 0.5000, 0.0000)  3 Tb 3.00-3.10

SG: No. 44

***

12.
This record from the Alexandria database describes crystalline Tb12Er5Sc2 at its relaxed geometry. The functional is GGA-PBE.

Cell lengths 9.0805, 8.9611, 8.4955 Å; angles 91.95, 90.00, 120.44 degrees
With the nearest neighbours (Å) after each atom.
Fractional coordinates of all 19 atoms:
Tb (0.9220, 0.8441, 0.1197)  5 Tb 3.21-3.57, 2 Er 3.40-3.46, 2 Sc 3.42
Tb (0.0338, 0.7027, 0.7653)  1 Sc 3.28, 4 Tb 3.31-3.57, 3 Er 3.48-3.65
Tb (0.6689, 0.7027, 0.7653)  1 Sc 3.28, 4 Tb 3.31-3.57, 3 Er 3.48-3.65
Tb (0.1757, 0.7421, 0.3195)  4 Er 3.35-3.71, 5 Tb 3.36-3.55, 1 Sc 3.44
Tb (0.5664, 0.7421, 0.3195)  4 Er 3.35-3.71, 5 Tb 3.36-3.55, 1 Sc 3.44
Tb (0.4426, 0.8853, 0.6620)  2 Er 3.33-3.54, 7 Tb 3.33-3.55, 2 Sc 3.34
Tb (0.5574, 0.1147, 0.3380)  2 Er 3.33-3.54, 7 Tb 3.33-3.55, 2 Sc 3.34
Tb (0.8243, 0.2579, 0.6805)  4 Er 3.35-3.71, 5 Tb 3.36-3.55, 1 Sc 3.44
Tb (0.4336, 0.2579, 0.6805)  4 Er 3.35-3.71, 5 Tb 3.36-3.55, 1 Sc 3.44
Tb (0.9662, 0.2973, 0.2347)  1 Sc 3.28, 4 Tb 3.31-3.57, 3 Er 3.48-3.65
Tb (0.3311, 0.2973, 0.2347)  1 Sc 3.28, 4 Tb 3.31-3.57, 3 Er 3.48-3.65
Tb (0.0780, 0.1559, 0.8803)  5 Tb 3.21-3.57, 2 Er 3.40-3.46, 2 Sc 3.42
Er (0.2315, 0.4630, 0.5680)  8 Tb 3.33-3.63, 2 Er 3.57-3.60
Er (0.2978, 0.5956, 0.9750)  8 Tb 3.46-3.65, 2 Sc 3.47, 1 Er 3.57
Er (0.0000, 0.0000, 0.5000)  10 Tb 3.40-3.71, 2 Er 3.60
Er (0.7022, 0.4044, 0.0250)  8 Tb 3.46-3.65, 2 Sc 3.47, 1 Er 3.57
Er (0.7685, 0.5370, 0.4320)  8 Tb 3.33-3.63, 2 Er 3.57-3.60
Sc (0.6675, 0.0000, 0.0000)  1 Sc 3.04, 4 Tb 3.28-3.34
Sc (0.3325, 0.0000, 0.0000)  1 Sc 3.04, 4 Tb 3.28-3.34

SG: No. 12

***

What formation energy values result from the calculations? In sequence: 18, 26, 31, 20, 202, 14, 325, 263, 229, 516, 254, 121 meV per atom.
What density of states at the Fermi level values result from the calculations? In sequence: 16.905, 13.318, 30.294, 28.827, 21.716, 15.240, 12.837, 16.018, 18.188, 28.665, 8.921, 30.514 states/eV per cell.